Entry from the Alexandria database: Sc5Pd2Au after structural relaxation (PBE).

```
Sc5Pd2Au
1.0
-3.660 3.660 6.107
3.660 -3.660 6.107
3.660 3.660 -6.107
Sc Pd Au
10 4 2
Cartesian
0.000 0.000 0.000
4.810 1.150 -1.807
1.150 2.510 -1.807
4.810 1.150 1.807
1.150 2.510 1.807
0.000 0.000 6.107
2.510 1.150 4.300
-1.150 2.510 4.300
2.510 1.150 7.913
-1.150 2.510 7.913
2.653 1.006 0.000
2.653 -1.006 6.107
1.006 4.666 0.000
1.006 2.653 6.107
0.000 0.000 3.053
0.000 0.000 9.160
```

## Properties
The value obtained for the formation energy is -0.662 eV per atom. As for the space group: I4/mcm, No. 140. The calculation puts the density of states at the Fermi level at 1.039 states/eV per atom.